# Ac3Pb2N, optimized geometry, DFT GGA-PBE
data_Ac3Pb2N
_chemical_formula_sum 'Ac12 Pb8 N4'
_symmetry_space_group_name_H-M 'P n m a'
_symmetry_Int_Tables_number 62
_cell_length_a 10.486
_cell_length_b 4.269
_cell_length_c 19.282
_cell_angle_alpha 90.00
_cell_angle_beta 90.00
_cell_angle_gamma 90.00
loop_
_symmetry_equiv_pos_as_xyz
'x,y,z'
'-x,-y,-z'
'-x+1/2,-y,z+1/2'
'x+1/2,y,-z+1/2'
'x+1/2,-y+1/2,-z+1/2'
'-x+1/2,y+1/2,z+1/2'
'-x,y+1/2,-z'
'x,-y+1/2,z'
loop_
_atom_site_label
_atom_site_fract_x
_atom_site_fract_y
_atom_site_fract_z
Ac1 0.038 0.250 0.107
Ac2 0.141 0.250 0.577
Ac3 0.199 0.750 0.261
Pb1 0.053 0.750 0.716
Pb2 0.244 0.250 0.947
N1 0.158 0.750 0.136
# Formation energy (no corrections)   -0.68 eV per atom

# MgCoPt2, optimized geometry, DFT GGA-PBE
data_MgCoPt2
_chemical_formula_sum 'Mg2 Co2 Pt4'
_symmetry_space_group_name_H-M 'I -4 m 2'
_symmetry_Int_Tables_number 119
_symmetry_space_group_name_Hall 'I -4 -2'
_cell_length_a 3.843
_cell_length_b 3.843
_cell_length_c 7.979
_cell_angle_alpha 90.00
_cell_angle_beta 90.00
_cell_angle_gamma 90.00
loop_
_atom_site_label
_atom_site_fract_x
_atom_site_fract_y
_atom_site_fract_z
Mg1 0.000 0.000 0.000
Co1 0.000 0.500 0.250
Pt1 0.000 0.000 0.500
Pt2 0.000 0.500 0.750
# Energy of formation from the pure elements   -0.34 eV/atom

# CaIrRuC2, optimized geometry, DFT GGA-PBE
data_CaIrRuC2
_chemical_formula_sum 'Ca1 Ir1 Ru1 C2'
_symmetry_space_group_name_H-M 'P 4/m m m'
_symmetry_Int_Tables_number 123
_symmetry_space_group_name_Hall '-P 4 2'
_cell_length_a 4.196
_cell_length_b 4.196
_cell_length_c 4.899
_cell_angle_alpha 90.00
_cell_angle_beta 90.00
_cell_angle_gamma 90.00
loop_
_atom_site_label
_atom_site_fract_x
_atom_site_fract_y
_atom_site_fract_z
Ca1 0.000 0.000 0.000
Ir1 0.500 0.500 0.500
Ru1 0.000 0.000 0.500
C1 0.000 0.500 0.000
# Energy of formation from the pure elements   3.44 eV/atom

# BaNp3Tl2S8, optimized geometry, DFT GGA-PBE
data_BaNp3Tl2S8
_chemical_formula_sum 'Ba3 Np9 Tl6 S24'
_symmetry_space_group_name_H-M 'R 3 m'
_symmetry_Int_Tables_number 160
_symmetry_space_group_name_Hall 'R 3 -2"'
_cell_length_a 8.1811
_cell_length_b 8.1811
_cell_length_c 22.6841
_cell_angle_alpha 90.00
_cell_angle_beta 90.00
_cell_angle_gamma 120.00
loop_
_atom_site_label
_atom_site_fract_x
_atom_site_fract_y
_atom_site_fract_z
Ba1 0.0000 0.0000 0.0000
Np1 0.1677 0.3353 0.2034
Tl1 0.0000 0.0000 0.3723
Tl2 0.0000 0.0000 0.7450
S1 0.0000 0.0000 0.1398
S2 0.0000 0.0000 0.5977
S3 0.0300 0.5150 0.1414
S4 0.1839 0.3678 0.9336
# Formation energy (no corrections)   -1.18 eV per atom

# TlIn3Sn, optimized geometry, DFT GGA-PBE
data_TlIn3Sn
_chemical_formula_sum 'Tl8 In24 Sn8'
_symmetry_space_group_name_H-M 'C 1 2/c 1'
_symmetry_Int_Tables_number 15
_cell_length_a 15.130
_cell_length_b 10.747
_cell_length_c 7.698
_cell_angle_alpha 90.00
_cell_angle_beta 109.94
_cell_angle_gamma 90.00
loop_
_symmetry_equiv_pos_as_xyz
'x,y,z'
'-x,-y,-z'
'-x,y,-z+1/2'
'x,-y,z+1/2'
'x+1/2,y+1/2,z'
'-x+1/2,-y+1/2,-z'
'-x+1/2,y+1/2,-z+1/2'
'x+1/2,-y+1/2,z+1/2'
loop_
_atom_site_label
_atom_site_fract_x
_atom_site_fract_y
_atom_site_fract_z
Tl1 0.000 0.013 0.250
Tl2 0.000 0.355 0.750
In1 0.168 0.161 0.615
In2 0.177 0.466 0.595
In3 0.184 0.138 0.034
Sn1 0.098 0.309 0.240
# Energy of formation from the pure elements   0.05 eV/atom

# LaReTe3, optimized geometry, DFT GGA-PBE
data_LaReTe3
_chemical_formula_sum 'La1 Re1 Te3'
_symmetry_space_group_name_H-M 'P m -3 m'
_symmetry_Int_Tables_number 221
_symmetry_space_group_name_Hall '-P 4 2 3'
_cell_length_a 6.126
_cell_length_b 6.126
_cell_length_c 6.126
_cell_angle_alpha 90.00
_cell_angle_beta 90.00
_cell_angle_gamma 90.00
loop_
_atom_site_label
_atom_site_fract_x
_atom_site_fract_y
_atom_site_fract_z
La1 0.000 0.000 0.000
Re1 0.500 0.500 0.500
Te1 0.000 0.000 0.500
# Formation energy (no corrections)   1.04 eV per atom

# BaThTeO6, optimized geometry, DFT GGA-PBE
data_BaThTeO6
_chemical_formula_sum 'Ba2 Th2 Te2 O12'
_symmetry_space_group_name_H-M 'P -3 1 c'
_symmetry_Int_Tables_number 163
_symmetry_space_group_name_Hall '-P 3 2c'
_cell_length_a 5.8542
_cell_length_b 5.8542
_cell_length_c 11.0568
_cell_angle_alpha 90.00
_cell_angle_beta 90.00
_cell_angle_gamma 120.00
loop_
_atom_site_label
_atom_site_fract_x
_atom_site_fract_y
_atom_site_fract_z
Ba1 0.0000 0.0000 0.0000
Th1 0.3333 0.6667 0.2500
Te1 0.3333 0.6667 0.7500
O1 0.0468 0.3998 0.6498
# Formation energy (no corrections)   -2.38 eV per atom

# Cu4NiAs, optimized geometry, DFT GGA-PBE
data_Cu4NiAs
_chemical_formula_sum 'Cu16 Ni4 As4'
_symmetry_space_group_name_H-M 'F -4 3 m'
_symmetry_Int_Tables_number 216
_symmetry_space_group_name_Hall 'F -4 2 3'
_cell_length_a 6.799
_cell_length_b 6.799
_cell_length_c 6.799
_cell_angle_alpha 90.00
_cell_angle_beta 90.00
_cell_angle_gamma 90.00
loop_
_atom_site_label
_atom_site_fract_x
_atom_site_fract_y
_atom_site_fract_z
Cu1 0.125 0.125 0.125
Ni1 0.000 0.000 0.500
As1 0.250 0.250 0.750
# Energy of formation from the pure elements   0.20 eV/atom

# SrCe2CoN4, optimized geometry, DFT GGA-PBE
data_SrCe2CoN4
_chemical_formula_sum 'Sr4 Ce8 Co4 N16'
_symmetry_space_group_name_H-M 'C m c m'
_symmetry_Int_Tables_number 63
_symmetry_space_group_name_Hall '-C 2c 2'
_cell_length_a 3.572
_cell_length_b 11.705
_cell_length_c 11.921
_cell_angle_alpha 90.00
_cell_angle_beta 90.00
_cell_angle_gamma 90.00
loop_
_atom_site_label
_atom_site_fract_x
_atom_site_fract_y
_atom_site_fract_z
Sr1 0.000 0.100 0.250
Ce1 0.000 0.367 0.052
Co1 0.000 0.175 0.750
N1 0.000 0.000 0.000
N2 0.000 0.255 0.614
N3 0.000 0.398 0.250
# Formation energy (no corrections)   -0.97 eV per atom

# Ag7HgAu12, optimized geometry, DFT GGA-PBE
data_Ag7HgAu12
_chemical_formula_sum 'Ag21 Hg3 Au36'
_symmetry_space_group_name_H-M 'R -3'
_symmetry_Int_Tables_number 148
_symmetry_space_group_name_Hall '-R 3'
_cell_length_a 10.0482
_cell_length_b 10.0482
_cell_length_c 13.2534
_cell_angle_alpha 90.00
_cell_angle_beta 90.00
_cell_angle_gamma 120.00
loop_
_atom_site_label
_atom_site_fract_x
_atom_site_fract_y
_atom_site_fract_z
Ag1 0.0000 0.0000 0.0000
Ag2 0.0485 0.1865 0.3057
Hg1 0.0000 0.0000 0.5000
Au1 0.0144 0.4496 0.2049
Au2 0.0474 0.5819 0.5902
# Energy of formation from the pure elements   0.08 eV/atom

# CsPuF3, optimized geometry, DFT GGA-PBE
data_CsPuF3
_chemical_formula_sum 'Cs6 Pu6 F18'
_symmetry_space_group_name_H-M 'R -3 m'
_symmetry_Int_Tables_number 166
_symmetry_space_group_name_Hall '-R 3 2"'
_cell_length_a 6.5090
_cell_length_b 6.5090
_cell_length_c 19.5229
_cell_angle_alpha 90.00
_cell_angle_beta 90.00
_cell_angle_gamma 120.00
loop_
_atom_site_label
_atom_site_fract_x
_atom_site_fract_y
_atom_site_fract_z
Cs1 0.0000 0.0000 0.1260
Pu1 0.0000 0.0000 0.3448
F1 0.0177 0.5088 0.9235
# Formation energy (no corrections)   -2.96 eV per atom

# Ag2SnO4, optimized geometry, DFT GGA-PBE
data_Ag2SnO4
_chemical_formula_sum 'Ag4 Sn2 O8'
_symmetry_space_group_name_H-M 'C m m m'
_symmetry_Int_Tables_number 65
_symmetry_space_group_name_Hall '-C 2 2'
_cell_length_a 5.811
_cell_length_b 10.002
_cell_length_c 3.196
_cell_angle_alpha 90.00
_cell_angle_beta 90.00
_cell_angle_gamma 90.00
loop_
_atom_site_label
_atom_site_fract_x
_atom_site_fract_y
_atom_site_fract_z
Ag1 0.000 0.192 0.000
Sn1 0.000 0.500 0.500
O1 0.227 0.500 0.000
O2 0.250 0.250 0.500
# Formation energy (no corrections)   -0.41 eV per atom

Computed DOS at the Fermi energy (states/eV/cell) in order:
23.0 8.0 7.5 89.0 17.1 8.1 0.0 13.1 18.1 18.6 74.0 7.3
Computed total magnetic moment (μB per atom) in order:
0.000 0.570 0.571 0.643 0.000 1.144 0.000 0.000 0.101 0.000 1.175 0.000